TbSmCdPd GGA-PBE optimized geometry; total magnetic moment = 0.00 μB/cell; symmetry = F-43m; formation energy from the elements = -519.8 meV per atom
1.0
0.000 3.667 3.667
3.667 0.000 3.667
3.667 3.667 0.000
Tb Sm Cd Pd
1 1 1 1
Cartesian
0.000 0.000 0.000
3.667 3.667 3.667
1.834 1.834 1.834
5.501 5.501 5.501